Record 1
First-principles (PBE) data for an optimized crystal structure of Dy2Er5Th4, as listed in Alexandria.

Values from the calculation:
As for the formation energy: 0.194 eV per atom. Its space-group type is C2/m (12). As for the crystal system: monoclinic. The volume is 32.36 A^3/atom. For the relative energy among the computed polymorphs, the calculation gives 16.4 kJ per mole of atoms.

abc: 6.623 8.964 10.216
angles: 39.26 71.09 68.32
Fractional positions:
Er 0.345 0.734 0.095
Er 0.825 0.734 0.095
Er 0.000 0.500 0.500
Er 0.655 0.266 0.905
Er 0.175 0.266 0.905
Th 0.248 0.343 0.161
Th 0.406 0.778 0.410
Th 0.594 0.222 0.590
Th 0.752 0.657 0.839
Dy 0.804 0.070 0.321
Dy 0.196 0.930 0.679

---

Record 2
First-principles (PBE) data for an optimized crystal structure of LaV2BiIr, as listed in Alexandria.

Values from the calculation:
As for the formation energy: 0.361 eV per atom. Its space-group type is P4/mmm (123). As for the crystal system: tetragonal. The volume is 25.20 A^3/atom.

abc: 4.732 5.628 4.732
angles: 90.00 90.00 90.00
Fractional positions:
La 0.000 0.500 0.000
V 0.000 0.000 0.500
V 0.500 0.000 0.000
Bi 0.500 0.500 0.500
Ir 0.000 0.000 0.000